Record 1
Density functional theory data (PBE) for a geometry-optimized Mg4CuPd structure.

Output
offset from the most stable computed form: 0.89 eV/f.u.
total magnetization: 0.0 μB/cell
formation energy: -185.7 meV per atom

abc: 4.464 4.464 6.293
angles: 90.00 90.00 90.00
Space group P4/mmm (No. 123)
Unique sites:
Mg (0.000, 0.500, 0.249) [4 per cell]
Cu (0.000, 0.000, 0.500) [1 per cell]
Pd (0.500, 0.500, 0.000) [1 per cell]

***

Record 2
Density functional theory data (PBE) for a geometry-optimized LiHf3Zr4N8 structure.

Output
total magnetization: 0.0 μB/cell
VASP energy: -9.941 eV/atom

abc: 6.4342 6.4342 15.8201
angles: 90.00 90.00 120.00
Space group R-3m (No. 166, hexagonal axes)
Unique sites:
Li (0.0000, 0.0000, 0.0000) [3 per cell]
Hf (0.0000, 0.5000, 0.0000) [9 per cell]
Zr (0.0000, 0.0000, 0.5000) [3 per cell]
Zr (0.0000, 0.5000, 0.5000) [9 per cell]
N (0.0000, 0.0000, 0.2539) [6 per cell]
N (0.0062, 0.5031, 0.2519) [18 per cell]

***

Record 3
Density functional theory data (PBE) for a geometry-optimized GeS2ICl structure.

Output
offset from the most stable computed form: 0.00 eV/f.u.
total magnetization: 0.0 μB/cell

abc: 4.930 4.930 4.801
angles: 90.00 90.00 90.00
Space group P4/mmm (No. 123)
Unique sites:
Ge (0.000, 0.000, 0.000) [1 per cell]
S (0.000, 0.500, 0.000) [2 per cell]
I (0.500, 0.500, 0.500) [1 per cell]
Cl (0.000, 0.000, 0.500) [1 per cell]

***

Record 4
Density functional theory data (PBE) for a geometry-optimized LaSb2Os structure.

Output
total magnetization: 0.0 μB/cell
VASP energy: -5.984 eV/atom

abc: 3.4675 3.4675 28.0854
angles: 90.00 90.00 120.00
Space group R-3m (No. 166, hexagonal axes)
Unique sites:
La (0.0000, 0.0000, 0.0000) [3 per cell]
Sb (0.0000, 0.0000, 0.2325) [6 per cell]
Os (0.0000, 0.0000, 0.5000) [3 per cell]

***

Record 5
Density functional theory data (PBE) for a geometry-optimized Zr2TlHg2 structure.

Output
offset from the most stable computed form: 0.36 eV/f.u.
total magnetization: 0.0 μB/cell
formation energy: 61.6 meV per atom

abc: 8.521 8.521 3.332
angles: 90.00 90.00 90.00
Space group P4/mbm (No. 127)
Unique sites:
Zr (0.126, 0.374, 0.000) [4 per cell]
Tl (0.000, 0.000, 0.000) [2 per cell]
Hg (0.171, 0.671, 0.500) [4 per cell]

***

Record 6
Density functional theory data (PBE) for a geometry-optimized PmGdLu structure.

Output
offset from the most stable computed form: 0.00 eV/f.u.
total magnetization: 7.4 μB/cell
formation energy: 77.2 meV per atom

abc: 5.6381 5.6381 3.4808
angles: 90.00 90.00 120.00
Space group P-6m2 (No. 187)
Unique sites:
Pm (0.0000, 0.0000, 0.0000) [1 per cell]
Gd (0.6667, 0.3333, 0.5000) [1 per cell]
Lu (0.3333, 0.6667, 0.0000) [1 per cell]

***

Record 7
Density functional theory data (PBE) for a geometry-optimized La2YO structure.

Output
total magnetization: 0.0 μB/cell
VASP energy: -6.522 eV/atom

abc: 7.469 7.469 9.204
angles: 90.00 90.00 90.00
Space group I-42d (No. 122)
Unique sites:
La (0.108, 0.750, 0.125) [8 per cell]
Y (0.000, 0.000, 0.500) [4 per cell]
O (0.000, 0.000, 0.000) [4 per cell]

***

Record 8
Density functional theory data (PBE) for a geometry-optimized ScMo2Pt structure.

Output
offset from the most stable computed form: 2.30 eV/f.u.
total magnetization: 0.0 μB/cell
formation energy: 265.6 meV per atom

abc: 7.671 7.671 5.081
angles: 90.00 90.00 90.00
Space group I-42d (No. 122)
Unique sites:
Sc (0.000, 0.000, 0.000) [4 per cell]
Mo (0.214, 0.250, 0.625) [8 per cell]
Pt (0.000, 0.000, 0.500) [4 per cell]

***

Record 9
Density functional theory data (PBE) for a geometry-optimized KTcNi structure.

Output
offset from the most stable computed form: 0.22 eV/f.u.
total magnetization: 0.1 μB/cell
formation energy: 497.7 meV per atom

abc: 2.774 4.173 12.244
angles: 90.00 92.98 90.00
Space group P2_1/m (No. 11)
Unique sites:
K (0.076, 0.250, 0.328) [2 per cell]
Tc (0.012, 0.250, 0.058) [2 per cell]
Ni (0.473, 0.250, 0.881) [2 per cell]

***

Record 10
Density functional theory data (PBE) for a geometry-optimized LiZrSc2N structure.

Output
total magnetization: 0.0 μB/cell
VASP energy: -6.907 eV/atom

abc: 4.456 4.456 4.530
angles: 90.00 90.00 90.00
Space group P4/mmm (No. 123)
Unique sites:
Li (0.000, 0.000, 0.000) [1 per cell]
Zr (0.500, 0.500, 0.000) [1 per cell]
Sc (0.000, 0.500, 0.500) [2 per cell]
N (0.500, 0.500, 0.500) [1 per cell]

***

Record 11
Density functional theory data (PBE) for a geometry-optimized Hf2VB structure.

Output
total magnetization: 7.2 μB/cell
formation energy: 325.0 meV per atom

abc: 3.2762 3.2762 24.2982
angles: 90.00 90.00 120.00
Space group R-3m (No. 166, hexagonal axes)
Unique sites:
Hf (0.0000, 0.0000, 0.1128) [6 per cell]
V (0.0000, 0.0000, 0.0000) [3 per cell]
B (0.0000, 0.0000, 0.5000) [3 per cell]

***

Record 12
Density functional theory data (PBE) for a geometry-optimized Tb6Pm4Nd19 structure.

Output
total magnetization: 0.0 μB/cell
formation energy: 355.6 meV per atom

abc: 12.742 12.742 12.742
angles: 90.00 90.00 90.00
Space group I23 (No. 197)
Unique sites:
Tb (0.000, 0.376, 0.500) [12 per cell]
Pm (0.182, 0.182, 0.818) [8 per cell]
Nd (0.000, 0.000, 0.000) [2 per cell]
Nd (0.000, 0.000, 0.258) [12 per cell]
Nd (0.060, 0.262, 0.282) [24 per cell]